No. 1
Density functional theory data (PBE-GGA) for a relaxed structure of ZrMnIn3.

**Electronic total energy**: -4.623 eV per atom
**SG**: Pm-3m (221)
**E_form**: 272 kJ/mol of formula units
**Total magnetic moment**: 0.00 μB/cell

a b c (Å): 4.8913 4.8913 4.8913
angles (deg): 90.00 90.00 90.00
Sites, in units of the cell vectors:
Zr1 0.0000 0.0000 0.0000
Mn1 0.5000 0.5000 0.5000
In1 0.0000 0.5000 0.5000
In2 0.5000 0.0000 0.5000
In3 0.5000 0.5000 0.0000


No. 2
Density functional theory data (PBE-GGA) for a relaxed structure of Zr2MnIn.

**Electronic total energy**: -7.140 eV per atom
**SG**: R3m (160)
**E_form**: 43 kJ/mol of formula units
**Total magnetic moment**: 3.07 μB/cell

a b c (Å): 9.8852 9.8852 9.8852
angles (deg): 18.51 18.51 18.51
Sites, in units of the cell vectors:
Zr1 0.0000 0.0000 0.0000
Zr2 0.2442 0.2442 0.2442
Mn1 0.5016 0.5016 0.5016
In1 0.7565 0.7565 0.7565


No. 3
Density functional theory data (PBE-GGA) for a relaxed structure of Zr2MnIn.

**Electronic total energy**: -7.288 eV per atom
**SG**: Pm (6)
**E_form**: -14 kJ/mol of formula units
**Total magnetic moment**: 2.00 μB/cell

a b c (Å): 3.2541 4.6679 5.4883
angles (deg): 90.00 98.95 90.00
Sites, in units of the cell vectors:
Zr1 0.0000 0.0000 0.0000
Zr2 0.2069 0.5000 0.6518
Mn1 0.6257 0.0000 0.5009
In1 0.5743 0.5000 0.1862


No. 4
Density functional theory data (PBE-GGA) for a relaxed structure of Zr2MnIn.

**Electronic total energy**: -7.284 eV per atom
**SG**: P4mm (99)
**E_form**: -13 kJ/mol of formula units
**Total magnetic moment**: 2.60 μB/cell

a b c (Å): 3.3262 3.3262 7.3673
angles (deg): 90.00 90.00 90.00
Sites, in units of the cell vectors:
Zr1 0.0000 0.0000 0.0000
Zr2 0.5000 0.5000 0.2850
Mn1 0.5000 0.5000 0.7871
In1 0.0000 0.0000 0.5669


No. 5
Density functional theory data (PBE-GGA) for a relaxed structure of Zr2MnIn.

**Electronic total energy**: -7.431 eV per atom
**SG**: P4/mmm (123)
**E_form**: -69 kJ/mol of formula units
**Total magnetic moment**: 0.00 μB/cell

a b c (Å): 3.2360 3.2360 7.4012
angles (deg): 90.00 90.00 90.00
Sites, in units of the cell vectors:
Zr1 0.0000 0.0000 0.2082
Zr2 0.0000 0.0000 0.7918
Mn1 0.5000 0.5000 0.0000
In1 0.5000 0.5000 0.5000


No. 6
Density functional theory data (PBE-GGA) for a relaxed structure of Zr2MnIn.

**Electronic total energy**: -7.277 eV per atom
**SG**: Immm (71)
**E_form**: -10 kJ/mol of formula units
**Total magnetic moment**: 0.41 μB/cell

a b c (Å): 5.3593 5.3593 5.3593
angles (deg): 140.72 125.03 69.63
Sites, in units of the cell vectors:
Zr1 0.2093 0.2093 0.0000
Zr2 0.7907 0.7907 0.0000
Mn1 0.0000 0.5000 0.5000
In1 0.5000 0.0000 0.5000


No. 7
Density functional theory data (PBE-GGA) for a relaxed structure of Zr2MnIn.

**Electronic total energy**: -7.198 eV per atom
**SG**: F-43m (216)
**E_form**: 21 kJ/mol of formula units
**Total magnetic moment**: 0.12 μB/cell

a b c (Å): 4.8435 4.8435 4.8435
angles (deg): 60.00 60.00 60.00
Sites, in units of the cell vectors:
Zr1 0.0000 0.0000 0.0000
Zr2 0.2500 0.2500 0.2500
Mn1 0.5000 0.5000 0.5000
In1 0.7500 0.7500 0.7500


No. 8
Density functional theory data (PBE-GGA) for a relaxed structure of Zr2MnIn.

**Electronic total energy**: -6.963 eV per atom
**SG**: I-42d (122)
**E_form**: 111 kJ/mol of formula units
**Total magnetic moment**: 0.00 μB/cell

a b c (Å): 6.0648 6.0648 6.0648
angles (deg): 102.72 102.72 124.04
Sites, in units of the cell vectors:
Zr1 0.0712 0.1250 0.4462
Zr2 0.3750 0.9288 0.0538
Zr3 0.6788 0.6250 0.5538
Zr4 0.8750 0.3212 0.9462
Mn1 0.0000 0.0000 0.0000
Mn2 0.7500 0.2500 0.5000
In1 0.2500 0.7500 0.5000
In2 0.5000 0.5000 0.0000